# 1
# YTcN3

A relaxed structure of YTcN3 (PBE, Alexandria).

a = 5.9785 Å, b = 3.7035 Å, c = 6.5099 Å
α = 73.48°, β = 66.69°, γ = 89.99°
Element x y z (fractional)
Y (0.1710, 0.7426, 0.5906)
Y (0.6909, 0.4498, 0.1753)
Tc (0.2073, 0.0087, 0.0579)
Tc (0.6308, 0.7221, 0.6303)
N (0.7968, 0.3208, 0.7797)
N (0.2397, 0.5694, 0.9362)
N (0.7963, 0.9735, 0.7802)
N (0.4177, 0.9360, 0.2030)
N (0.8942, 0.8825, 0.3103)
N (0.4502, 0.2443, 0.5864)

Properties
space group: Cm, No. 8
formation energy (no corrections): -0.468 eV/atom
ρ: 6.0 g/cm3
DOS at the Fermi energy: 4.96 states/eV/cell
calculated volume: 125.9 Å³/cell

=====

# 2
# HoNpSc2P4

A relaxed structure of HoNpSc2P4 (PBE, Alexandria).

a = 3.8619 Å, b = 6.6680 Å, c = 6.7026 Å
α = 70.60°, β = 90.00°, γ = 90.00°
Site moments in Bohr magnetons follow the coordinates.
Element x y z (fractional)
Ho (0.0000, 0.5000, 0.5000)  0.02
Np (0.5000, 0.5000, 0.0000)  3.43
Sc (0.0000, 0.0000, 0.0000)  0.03
Sc (0.5000, 0.0000, 0.5000)  0.03
P (0.0000, 0.7615, 0.7483)  -0.06
P (0.0000, 0.2385, 0.2517)  -0.06
P (0.5000, 0.7614, 0.2424)  -0.04
P (0.5000, 0.2386, 0.7576)  -0.04

Properties
space group: P2/m, No. 10
ΔH_f (0 K): -1354.4 meV/atom
ρ: 6.3 g/cm3
DOS at the Fermi energy: 8.96 states/eV/cell
calculated volume: 162.8 Å³/cell